# Sr2CaCuN PBE optimized geometry
# Size of the total moment   0.00 μB/f.u.
# Formation energy (no corrections)   -0.292 eV/atom
# Calculated volume   26.5 Å³/atom
data_Sr2CaCuN
_chemical_formula_sum 'Sr2 Ca1 Cu1 N1'
_space_group_name_H-M_alt 'P 1'
_space_group_IT_number 1
_space_group_name_Hall 'P 1'
_cell_length_a 5.2404
_cell_length_b 5.2404
_cell_length_c 4.8173
_cell_angle_alpha 90.00
_cell_angle_beta 90.00
_cell_angle_gamma 90.00
loop_
_atom_site_label
_atom_site_fract_x
_atom_site_fract_y
_atom_site_fract_z
Sr1 0.0000 0.5000 0.0000
Sr2 0.5000 0.0000 0.0000
Ca1 0.0000 0.0000 0.5000
Cu1 0.5000 0.5000 0.5000
N1 0.0000 0.0000 0.0000